Here is a relaxed structure of LiReW from Alexandria via LeMat-Bulk. Energies are from GGA-PBE.

```
data_LiReW
_space_group_name_H-M_alt 'F m m 2'
_space_group_IT_number 42
_space_group_name_Hall 'F 2 -2'
_cell_length_a 3.005
_cell_length_b 4.396
_cell_length_c 14.043
_cell_angle_alpha 90.00
_cell_angle_beta 90.00
_cell_angle_gamma 90.00
loop_
_atom_site_label
_atom_site_type_symbol
_atom_site_fract_x
_atom_site_fract_y
_atom_site_fract_z
_atom_site_occupancy
Li1 Li 0.000 0.000 0.000 1
Re1 Re 0.000 0.000 0.665 1
W1 W 0.000 0.000 0.326 1
```

E_tot in eV per atom: -8.79
Energy above the most stable polymorph in this dataset in kJ/mol of formula units: 46
ΔE_f in meV/atom: 314